Record 1
Ag2SbAu2 | PBE | optimized geometry

Output
**Energy relative to the elements, uncorrected**: 0.036 eV/atom
**Energy above the most stable polymorph in this dataset**: 0.0000 eV per atom
**Electronic total energy**: -3.240 eV/atom
**ρ**: 12.0 Mg/m³

Cell lengths 7.844, 7.844, 3.277 Å; angles 90.00, 90.00, 90.00 degrees
Atoms (fractional coordinates):
Ag 0.161 0.339 0.000
Ag 0.339 0.839 0.000
Ag 0.661 0.161 0.000
Ag 0.839 0.661 0.000
Sb 0.000 0.000 0.500
Sb 0.500 0.500 0.500
Au 0.135 0.635 0.500
Au 0.365 0.135 0.500
Au 0.635 0.865 0.500
Au 0.865 0.365 0.500

Record 2
AgSbAu2 | PBE | optimized geometry

Output
**Energy relative to the elements, uncorrected**: 0.009 eV/atom
**Electronic total energy**: -3.373 eV/atom
**ρ**: 12.6 Mg/m³

Cell lengths 4.550, 6.166, 5.848 Å; angles 90.00, 90.00, 90.00 degrees
Atoms (fractional coordinates):
Ag 0.000 0.048 0.000
Ag 0.000 0.952 0.500
Sb 0.500 0.281 0.756
Sb 0.500 0.719 0.256
Au 0.000 0.457 0.300
Au 0.000 0.543 0.800
Au 0.500 0.188 0.280
Au 0.500 0.812 0.780

Record 3
Ag12SbAu6 | PBE | optimized geometry

Output
**Energy relative to the elements, uncorrected**: 0.108 eV/atom
**Electronic total energy**: -2.944 eV/atom
**ρ**: 11.2 Mg/m³

Cell lengths 7.743, 7.743, 7.743 Å; angles 107.14, 107.14, 107.14 degrees
Atoms (fractional coordinates):
Ag 0.000 0.386 0.614
Ag 0.000 0.614 0.386
Ag 0.163 0.163 0.406
Ag 0.163 0.406 0.163
Ag 0.386 0.000 0.614
Ag 0.386 0.614 0.000
Ag 0.406 0.163 0.163
Ag 0.594 0.837 0.837
Ag 0.614 0.000 0.386
Ag 0.614 0.386 0.000
Ag 0.837 0.594 0.837
Ag 0.837 0.837 0.594
Sb 0.500 0.500 0.500
Au 0.187 0.187 0.806
Au 0.187 0.806 0.187
Au 0.194 0.813 0.813
Au 0.806 0.187 0.187
Au 0.813 0.194 0.813
Au 0.813 0.813 0.194

Record 4
Ag6SbAu | PBE | optimized geometry

Output
**Energy relative to the elements, uncorrected**: 0.019 eV/atom
**Energy above the most stable polymorph in this dataset**: 0.0000 eV per atom
**Electronic total energy**: -3.045 eV/atom
**ρ**: 10.6 Mg/m³

Cell lengths 5.982, 5.982, 4.221 Å; angles 90.00, 90.00, 90.17 degrees
Atoms (fractional coordinates):
Ag 0.000 0.500 0.500
Ag 0.243 0.757 0.000
Ag 0.244 0.244 0.000
Ag 0.500 0.000 0.500
Ag 0.756 0.756 0.000
Ag 0.757 0.243 0.000
Sb 0.500 0.500 0.500
Au 0.000 0.000 0.500

Record 5
AgSbAu2 | PBE | optimized geometry

Output
**Energy relative to the elements, uncorrected**: 0.036 eV/atom
**Electronic total energy**: -3.346 eV/atom
**ρ**: 12.9 Mg/m³

Cell lengths 5.155, 5.155, 4.364 Å; angles 107.37, 107.37, 47.25 degrees
Atoms (fractional coordinates):
Ag 0.000 0.000 0.000
Sb 0.249 0.249 0.722
Au 0.499 0.499 0.487
Au 0.743 0.743 0.218

Record 6
AgSbAu2 | PBE | optimized geometry

Output
**Energy relative to the elements, uncorrected**: 0.022 eV/atom
**Electronic total energy**: -3.361 eV/atom
**ρ**: 12.8 Mg/m³

Cell lengths 4.706, 4.706, 3.723 Å; angles 90.00, 90.00, 101.98 degrees
Atoms (fractional coordinates):
Ag 0.000 0.000 0.000
Sb 0.500 0.500 0.000
Au 0.000 0.500 0.500
Au 0.500 0.000 0.500

Record 7
AgSb2Au | PBE | optimized geometry

Output
**Energy relative to the elements, uncorrected**: 0.129 eV/atom
**Energy above the most stable polymorph in this dataset**: 0.0906 eV per atom
**Electronic total energy**: -3.464 eV/atom
**ρ**: 10.0 Mg/m³

Cell lengths 4.769, 4.769, 4.049 Å; angles 91.25, 91.25, 99.45 degrees
Atoms (fractional coordinates):
Ag 0.000 0.000 0.000
Sb 0.000 0.500 0.500
Sb 0.500 0.000 0.500
Au 0.500 0.500 0.000

Record 8
AgSb2Au | PBE | optimized geometry

Output
**Energy relative to the elements, uncorrected**: 0.078 eV/atom
**Energy above the most stable polymorph in this dataset**: 0.0398 eV per atom
**Electronic total energy**: -3.515 eV/atom
**ρ**: 9.6 Mg/m³

Cell lengths 3.048, 3.844, 8.111 Å; angles 90.00, 90.08, 90.00 degrees
Atoms (fractional coordinates):
Ag 0.000 0.000 0.000
Sb 0.499 0.500 0.753
Sb 0.501 0.500 0.247
Au 0.500 0.000 0.500